Entry 1:
A plane-wave DFT calculation with PBE was carried out for a geometry-optimized SmTeO5 structure.

a b c (Å): 5.646 5.646 7.751
angles (deg): 70.03 70.03 71.39
Each line ends with the local moment (μB).
Atoms (fractional coordinates):
Sm: 0.544 0.456 0.250  -0.02
Sm: 0.456 0.544 0.750  -0.02
Te: 0.000 0.000 0.000  -0.03
Te: 0.000 0.000 0.500  -0.03
O: 0.788 0.759 0.115  0.25
O: 0.281 0.703 0.469  0.16
O: 0.759 0.788 0.615  0.25
O: 0.918 0.082 0.250  0.07
O: 0.297 0.719 0.031  0.16
O: 0.703 0.281 0.969  0.16
O: 0.082 0.918 0.750  0.07
O: 0.241 0.212 0.385  0.25
O: 0.719 0.297 0.531  0.16
O: 0.212 0.241 0.885  0.25

**ΔE_f (raw)**: -1.719 eV per atom
**VASP energy**: -6.3836 eV per atom
**Crystal system**: monoclinic
**Symmetry**: C2/c, No. 15


Entry 2:
A plane-wave DFT calculation with PBE was carried out for a geometry-optimized Sm2Te2O structure.

a b c (Å): 6.091 7.689 7.689
angles (deg): 56.00 66.66 66.66
Atoms (fractional coordinates):
Sm: 0.096 0.594 0.214
Sm: 0.904 0.406 0.786
Sm: 0.404 0.786 0.406
Sm: 0.596 0.214 0.594
Te: 0.356 0.290 0.999
Te: 0.644 0.710 0.001
Te: 0.144 0.001 0.710
Te: 0.856 0.999 0.290
O: 0.250 0.500 0.500
O: 0.750 0.500 0.500

**ΔE_f (raw)**: -2.099 eV per atom
**E above lowest polymorph**: 4 meV per atom
**VASP energy**: -6.2351 eV per atom
**Crystal system**: orthorhombic
**Symmetry**: Ibam, No. 72


Entry 3:
A plane-wave DFT calculation with PBE was carried out for a geometry-optimized Sm4Te3O2 structure.

a b c (Å): 3.808 7.151 8.871
angles (deg): 102.69 90.00 105.44
Atoms (fractional coordinates):
Sm: 0.680 0.360 0.100
Sm: 0.083 0.166 0.693
Sm: 0.917 0.834 0.307
Sm: 0.320 0.640 0.900
Te: 0.391 0.781 0.583
Te: 0.000 0.000 0.000
Te: 0.609 0.219 0.417
O: 0.297 0.594 0.159
O: 0.703 0.406 0.841

**ΔE_f (raw)**: -1.915 eV per atom
**VASP energy**: -6.1610 eV per atom
**Crystal system**: monoclinic
**Symmetry**: C2/m, No. 12


Entry 4:
A plane-wave DFT calculation with PBE was carried out for a geometry-optimized Sm3Te2O2 structure.

a b c (Å): 3.696 6.095 7.643
angles (deg): 97.80 104.00 107.63
Atoms (fractional coordinates):
Sm: 0.000 0.000 0.000
Sm: 0.902 0.568 0.235
Sm: 0.098 0.432 0.765
Te: 0.694 0.794 0.595
Te: 0.306 0.206 0.405
O: 0.616 0.271 0.961
O: 0.384 0.729 0.039

**ΔE_f (raw)**: -2.152 eV per atom
**VASP energy**: -6.4885 eV per atom
**Crystal system**: monoclinic
**Symmetry**: C2/m, No. 12